# 1
# AcCoSi

A geometry-optimized AcCoSi structure (PBE, the Alexandria database).

Geometry as extended XYZ:
```
3
Lattice="4.573 0.000 0.000 0.000 4.071 0.000 0.000 -2.035 3.525" Properties=species:S:1:pos:R:3 pbc="T T T"
Ac 3.047 2.035 1.175
Co 0.764 0.000 0.000
Si 0.762 0.000 2.350
```

The spin magnetization is 0.1 Bohr magnetons per cell. The energy above the lowest structure with this stoichiometry comes out at 130 meV per atom. For the formation energy (no corrections), the calculation gives -0.452 eV/atom.


# 2
# Ac2Nd4Sn3H2

A geometry-optimized Ac2Nd4Sn3H2 structure (PBE, the Alexandria database).

Geometry as extended XYZ:
```
11
Lattice="4.927 0.000 0.000 0.000 4.927 0.000 -2.463 -2.463 13.190" Properties=species:S:1:pos:R:3 pbc="T T T"
Ac 0.000 0.000 7.933
Nd 0.000 2.463 2.103
Sn 0.000 0.000 4.444
Nd 2.463 0.000 2.103
H 0.000 0.000 10.635
Nd 2.463 0.000 11.087
Nd 0.000 2.463 11.087
H 2.463 2.463 2.555
Sn 2.463 2.463 8.746
Sn 0.000 0.000 0.000
Ac 2.463 2.463 5.257
```

The spin magnetization is 0.3 Bohr magnetons per cell. Its electronic total energy is -52.38 eV/cell.


- Which value of spin magnetization does entry 2 give?
  0.3 Bohr magnetons per cell


- Number 1 is which compound?
  AcCoSi


Repeat the second record exactly.
# Ac2Nd4Sn3H2

A geometry-optimized Ac2Nd4Sn3H2 structure (PBE, the Alexandria database).

Geometry as extended XYZ:
```
11
Lattice="4.927 0.000 0.000 0.000 4.927 0.000 -2.463 -2.463 13.190" Properties=species:S:1:pos:R:3 pbc="T T T"
Ac 0.000 0.000 7.933
Nd 0.000 2.463 2.103
Sn 0.000 0.000 4.444
Nd 2.463 0.000 2.103
H 0.000 0.000 10.635
Nd 2.463 0.000 11.087
Nd 0.000 2.463 11.087
H 2.463 2.463 2.555
Sn 2.463 2.463 8.746
Sn 0.000 0.000 0.000
Ac 2.463 2.463 5.257
```

The spin magnetization is 0.3 Bohr magnetons per cell. Its electronic total energy is -52.38 eV/cell.